{
  "formula": "Co3TePt",
  "functional": "PBE-GGA",
  "state": "optimized geometry",
  "lattice_angstrom": [[4.645, 0.000, 0.000], [0.000, 4.645, 0.000], [0.000, 0.000, 4.645]],
  "species": ["Co", "Co", "Co", "Te", "Pt"],
  "frac_coords": [[0.000, 0.000, 0.500], [0.000, 0.500, 0.000], [0.500, 0.000, 0.000], [0.500, 0.500, 0.500], [0.000, 0.000, 0.000]],
  "formation_energy_uncorrected_kj_per_mol_atoms": 100.46,
  "total_energy_ev_per_atom": -5.06,
  "polymorph_energy_mev_per_atom": 0,
  "magnetic_moment_mub_per_fu": 6.73,
  "sg": "Pm-3m"
}